Crystalline CuAgTe2 at its relaxed geometry. Source: Alexandria, functional PBEsol.

Unit cell a=3.842 b=3.842 c=7.083 alpha=74.26 beta=74.26 gamma=60.00
Fractional positions:
Te: 0.258 0.258 0.226
Te: 0.742 0.742 0.774
Ag: 0.500 0.500 0.500
Cu: 0.000 0.000 0.000

Calculated values
DFT total energy in eV/atom: -3.668


Crystalline Cu3AgTe at its relaxed geometry. Source: Alexandria, functional PBEsol.

Unit cell a=4.625 b=4.625 c=4.625 alpha=90.00 beta=90.00 gamma=90.00
Fractional positions:
Te: 0.500 0.500 0.500
Cu: 0.000 0.500 0.000
Cu: 0.000 0.000 0.500
Cu: 0.500 0.000 0.000
Ag: 0.000 0.000 0.000

Calculated values
DFT total energy in eV/atom: -3.106


Crystalline Zr2CuAgTe at its relaxed geometry. Source: Alexandria, functional PBEsol.

Unit cell a=4.554 b=5.263 c=5.263 alpha=90.00 beta=90.00 gamma=90.00
Fractional positions:
Te: 0.000 0.000 0.000
Zr: 0.000 0.000 0.500
Zr: 0.000 0.500 0.000
Ag: 0.500 0.500 0.500
Cu: 0.500 0.000 0.000

Calculated values
DFT total energy in eV/atom: -5.130


Crystalline TlCuAg at its relaxed geometry. Source: Alexandria, functional PBEsol.

Unit cell a=3.355 b=3.352 c=5.236 alpha=108.67 beta=108.69 gamma=90.00
Fractional positions:
Ag: 0.019 0.019 0.038
Cu: 0.653 0.653 0.307
Tl: 0.327 0.327 0.655

Calculated values
E_form in meV/atom: 208


Crystalline TlCuAg2 at its relaxed geometry. Source: Alexandria, functional PBEsol.

Unit cell a=4.591 b=4.591 c=4.591 alpha=60.00 beta=60.00 gamma=60.00
Fractional positions:
Ag: 0.000 0.000 0.000
Ag: 0.750 0.750 0.750
Cu: 0.500 0.500 0.500
Tl: 0.250 0.250 0.250

Calculated values
E_form in meV/atom: 179


Crystalline TlCuAg2 at its relaxed geometry. Source: Alexandria, functional PBEsol.

Unit cell a=2.930 b=4.416 c=5.500 alpha=90.00 beta=101.54 gamma=90.00
Fractional positions:
Ag: 0.118 0.000 0.775
Ag: 0.882 0.000 0.225
Cu: 0.500 0.500 0.000
Tl: 0.500 0.500 0.500

Calculated values
E_form in meV/atom: 206


Crystalline TmCu4Ag at its relaxed geometry. Source: Alexandria, functional PBEsol.

Unit cell a=4.933 b=4.933 c=4.933 alpha=60.00 beta=60.00 gamma=60.00
Fractional positions:
Tm: 0.750 0.750 0.750
Cu: 0.374 0.374 0.877
Cu: 0.877 0.374 0.374
Cu: 0.374 0.374 0.374
Cu: 0.374 0.877 0.374
Ag: 0.000 0.000 0.000

Calculated values
E_form in meV/atom: -260


Crystalline CuAgW2 at its relaxed geometry. Source: Alexandria, functional PBEsol.

Unit cell a=2.682 b=2.682 c=8.754 alpha=90.00 beta=90.00 gamma=107.68
Fractional positions:
Ag: 0.000 0.000 0.487
Cu: 0.500 0.500 0.245
W: 0.000 0.000 0.010
W: 0.500 0.500 0.758

Calculated values
Distance to the lowest polymorph of the same formula in eV per atom: 0.000
E_form in meV/atom: 296


Crystalline CuAg2W at its relaxed geometry. Source: Alexandria, functional PBEsol.

Unit cell a=2.697 b=2.697 c=8.197 alpha=90.00 beta=90.00 gamma=90.00
Fractional positions:
Ag: 0.000 0.000 0.767
Ag: 0.000 0.000 0.233
Cu: 0.500 0.500 0.000
W: 0.500 0.500 0.500

Calculated values
Distance to the lowest polymorph of the same formula in eV per atom: 0.000
E_form in meV/atom: 404


Crystalline CuAg2W at its relaxed geometry. Source: Alexandria, functional PBEsol.

Unit cell a=3.697 b=3.697 c=4.448 alpha=90.00 beta=90.00 gamma=90.00
Fractional positions:
Ag: 0.000 0.500 0.000
Ag: 0.500 0.000 0.000
Cu: 0.500 0.500 0.500
W: 0.000 0.000 0.500

Calculated values
Distance to the lowest polymorph of the same formula in eV per atom: 0.441
E_form in meV/atom: 845


Crystalline CuAgW2 at its relaxed geometry. Source: Alexandria, functional PBEsol.

Unit cell a=3.218 b=3.218 c=5.802 alpha=90.00 beta=90.00 gamma=90.00
Fractional positions:
Ag: 0.000 0.000 0.523
Cu: 0.500 0.500 0.747
W: 0.000 0.000 0.002
W: 0.500 0.500 0.228

Calculated values
Distance to the lowest polymorph of the same formula in eV per atom: 0.165
E_form in meV/atom: 460


Crystalline CuAgW2 at its relaxed geometry. Source: Alexandria, functional PBEsol.

Unit cell a=3.709 b=3.709 c=4.286 alpha=90.00 beta=90.00 gamma=90.00
Fractional positions:
Ag: 0.500 0.500 0.500
Cu: 0.000 0.000 0.500
W: 0.000 0.500 0.000
W: 0.500 0.000 0.000

Calculated values
Distance to the lowest polymorph of the same formula in eV per atom: 0.244
E_form in meV/atom: 540


| no. | theoretical density (g/cm³) |
| --- | --- |
| 1 | 8.2 |
| 2 | 7.2 |
| 3 | 6.3 |
| 4 | 11.9 |
| 5 | 11.7 |
| 6 | 11.5 |
| 7 | 10.4 |
| 8 | 14.9 |
| 9 | 12.9 |
| 10 | 12.6 |
| 11 | 14.9 |
| 12 | 15.2 |